# Na4InPt3O8 (PBE, optimized geometry)
data_Na4InPt3O8
_cell_length_a 6.2215
_cell_length_b 6.2117
_cell_length_c 7.2208
_cell_angle_alpha 118.88
_cell_angle_beta 115.52
_cell_angle_gamma 90.00
_space_group_name_H-M_alt 'P 1'
_space_group_IT_number 1
loop_
_space_group_symop_operation_xyz
'x,y,z'
loop_
_atom_site_label
_atom_site_fract_x
_atom_site_fract_y
_atom_site_fract_z
Na1 0.5000 0.0000 0.5000
Pt1 0.0000 0.5000 0.5000
Pt2 0.5000 0.5000 0.0000
O1 0.3171 0.3867 0.6343
Na2 0.0000 0.0000 0.0000
In1 0.0000 0.5000 0.0000
Na3 0.5000 0.0000 0.0000
O2 0.2994 0.7616 0.0806
O3 0.6829 0.6133 0.3657
O4 0.7812 0.7616 0.0806
O5 0.2121 0.6482 0.4242
Na4 0.0000 0.0000 0.5000
O6 0.7006 0.2384 0.9194
O7 0.2188 0.2384 0.9194
Pt3 0.5000 0.5000 0.5000
O8 0.7879 0.3518 0.5758
# - total DFT energy (no corrections) (eV for the cell shown) = -82.8
# - SG = No. 12
# - calculated volume (Å³ per cell) = 213
# - raw formation energy (eV/atom) = -1.06


# Na2PuInO6 (PBE, optimized geometry)
data_Na2PuInO6
_cell_length_a 5.6780
_cell_length_b 5.7978
_cell_length_c 8.1122
_cell_angle_alpha 90.00
_cell_angle_beta 89.91
_cell_angle_gamma 90.00
_space_group_name_H-M_alt 'P 1'
_space_group_IT_number 1
loop_
_space_group_symop_operation_xyz
'x,y,z'
loop_
_atom_site_label
_atom_site_fract_x
_atom_site_fract_y
_atom_site_fract_z
O1 0.0928 0.4706 0.7604
O2 0.1905 0.2154 0.0506
In1 0.5000 0.0000 0.0000
O3 0.7870 0.8050 0.5457
In2 0.0000 0.5000 0.5000
O4 0.5928 0.0294 0.2604
O5 0.7130 0.3050 0.9543
O6 0.4072 0.9706 0.7396
O7 0.6905 0.2846 0.5506
Na1 0.0085 0.9613 0.2516
Na2 0.5085 0.5387 0.7516
Na3 0.4915 0.4613 0.2484
O8 0.9072 0.5294 0.2396
Na4 0.9915 0.0387 0.7484
O9 0.3095 0.7154 0.4494
O10 0.2870 0.6950 0.0457
O11 0.2130 0.1950 0.4543
Pu1 0.0000 0.5000 0.0000
Pu2 0.5000 0.0000 0.5000
O12 0.8095 0.7846 0.9494
# - total DFT energy (no corrections) (eV for the cell shown) = -138.7
# - SG = No. 14
# - calculated volume (Å³ per cell) = 267
# - raw formation energy (eV/atom) = -1.99


# NaPuIn2O8 (PBE, optimized geometry)
data_NaPuIn2O8
_cell_length_a 5.3178
_cell_length_b 4.6081
_cell_length_c 6.7526
_cell_angle_alpha 90.00
_cell_angle_beta 90.00
_cell_angle_gamma 90.13
_space_group_name_H-M_alt 'P 1'
_space_group_IT_number 1
loop_
_space_group_symop_operation_xyz
'x,y,z'
loop_
_atom_site_label
_atom_site_fract_x
_atom_site_fract_y
_atom_site_fract_z
O1 0.6653 0.7357 0.0000
O2 0.1440 0.7712 0.2083
O3 0.3347 0.2643 0.0000
In1 0.5000 0.5000 0.7545
O4 0.8560 0.2288 0.2083
O5 0.1440 0.7712 0.7917
Pu1 0.0000 0.0000 0.0000
O6 0.8560 0.2288 0.7917
O7 0.4439 0.2212 0.5000
O8 0.5561 0.7788 0.5000
Na1 0.0000 0.0000 0.5000
In2 0.5000 0.5000 0.2455
# - total DFT energy (no corrections) (eV for the cell shown) = -79.2
# - SG = No. 10
# - calculated volume (Å³ per cell) = 165
# - raw formation energy (eV/atom) = -1.53


# NaPuIn4O8 (PBE, optimized geometry)
data_NaPuIn4O8
_cell_length_a 6.6126
_cell_length_b 6.6126
_cell_length_c 6.5963
_cell_angle_alpha 59.92
_cell_angle_beta 59.92
_cell_angle_gamma 60.00
_space_group_name_H-M_alt 'P 1'
_space_group_IT_number 1
loop_
_space_group_symop_operation_xyz
'x,y,z'
loop_
_atom_site_label
_atom_site_fract_x
_atom_site_fract_y
_atom_site_fract_z
O1 0.2518 0.7806 0.7158
In1 0.5020 0.9996 0.4988
O2 0.7806 0.2518 0.7158
In2 0.9996 0.9996 0.4988
O3 0.7550 0.7550 0.7350
O4 0.7485 0.7485 0.2782
O5 0.7485 0.2247 0.2782
Pu1 0.3795 0.3795 0.8616
O6 0.2397 0.2397 0.2809
In3 0.6181 0.6181 0.1457
O7 0.2247 0.7485 0.2782
In4 0.9996 0.5020 0.4988
Na1 0.0005 0.0005 0.9984
O8 0.2518 0.2518 0.7158
# - total DFT energy (no corrections) (eV for the cell shown) = -91.0
# - SG = No. 160
# - calculated volume (Å³ per cell) = 204
# - raw formation energy (eV/atom) = -1.76


# Rb2Na3InO4 (PBE, optimized geometry)
data_Rb2Na3InO4
_cell_length_a 7.5432
_cell_length_b 9.7864
_cell_length_c 9.9096
_cell_angle_alpha 90.00
_cell_angle_beta 90.00
_cell_angle_gamma 90.00
_space_group_name_H-M_alt 'P 1'
_space_group_IT_number 1
loop_
_space_group_symop_operation_xyz
'x,y,z'
loop_
_atom_site_label
_atom_site_fract_x
_atom_site_fract_y
_atom_site_fract_z
In1 0.5000 0.7758 0.8727
Na1 0.5000 0.7339 0.5822
O1 0.0000 0.9178 0.2754
O2 0.5000 0.9350 0.7253
In2 0.0000 0.7242 0.3727
O3 0.7350 0.1927 0.0184
O4 0.2350 0.3073 0.5184
O5 0.2350 0.6927 0.4816
O6 0.0000 0.5650 0.2253
Na2 0.7532 0.4816 0.3534
Na3 0.5000 0.2661 0.4178
O7 0.0000 0.4350 0.7747
Rb1 0.5000 0.2693 0.7571
O8 0.7350 0.8073 0.9816
Na4 0.0000 0.2339 0.9178
O9 0.5000 0.5822 0.7754
Rb2 0.0000 0.2307 0.2571
O10 0.7650 0.6927 0.4816
Na5 0.2532 0.0184 0.8534
In3 0.5000 0.2242 0.1273
Na6 0.2532 0.9816 0.1466
Rb3 0.7552 0.5000 0.0000
O11 0.2650 0.8073 0.9816
Na7 0.2468 0.5184 0.6466
Na8 0.7468 0.9816 0.1466
O12 0.2650 0.1927 0.0184
In4 0.0000 0.2758 0.6273
Na9 0.2468 0.4816 0.3534
Na10 0.7532 0.5184 0.6466
O13 0.5000 0.4178 0.2246
Rb4 0.2552 0.0000 0.5000
Rb5 0.0000 0.7693 0.7429
O14 0.7650 0.3073 0.5184
O15 0.5000 0.0650 0.2747
Na11 0.0000 0.7661 0.0822
O16 0.0000 0.0822 0.7246
Na12 0.7468 0.0184 0.8534
Rb6 0.2448 0.5000 0.0000
Rb7 0.5000 0.7307 0.2429
Rb8 0.7448 0.0000 0.5000
# - total DFT energy (no corrections) (eV for the cell shown) = -168.3
# - SG = No. 58
# - calculated volume (Å³ per cell) = 732
# - raw formation energy (eV/atom) = -1.36


# Na3In3ReO8 (PBE, optimized geometry)
data_Na3In3ReO8
_cell_length_a 6.5534
_cell_length_b 6.5535
_cell_length_c 6.7083
_cell_angle_alpha 119.25
_cell_angle_beta 90.00
_cell_angle_gamma 120.00
_space_group_name_H-M_alt 'P 1'
_space_group_IT_number 1
loop_
_space_group_symop_operation_xyz
'x,y,z'
loop_
_atom_site_label
_atom_site_fract_x
_atom_site_fract_y
_atom_site_fract_z
Re1 0.0000 0.0000 0.5000
O1 0.7372 0.4743 0.7114
O2 0.2194 0.9771 0.6965
O3 0.7806 0.5612 0.3035
O4 0.7806 0.0229 0.3035
In1 0.5000 0.5000 0.5000
O5 0.2194 0.4388 0.6965
O6 0.2423 0.0229 0.3035
In2 0.5000 0.0000 0.5000
Na1 0.5000 0.5000 0.0000
Na2 0.0000 0.5000 0.0000
O7 0.7577 0.9771 0.6965
Na3 0.0000 0.0000 0.0000
O8 0.2628 0.5257 0.2886
In3 0.0000 0.5000 0.5000
# - total DFT energy (no corrections) (eV for the cell shown) = -87.4
# - SG = No. 166
# - calculated volume (Å³ per cell) = 206
# - raw formation energy (eV/atom) = -1.54


- total DFT energy (no corrections) of number 1 (Na4InPt3O8)?
  -82.8 eV for the cell shown


- The lowest raw formation energy belongs to which entry?
  Na2PuInO6


- The highest calculated volume belongs to which entry?
  Rb2Na3InO4


- What is the calculated volume in the first record?
  213 Å³ per cell